Entry 1:
! MgCuBiSe3 (PBE, relaxed); values from VASP
! Theoretical density (kg/m3): 6294
! Space-group type: P2_1/m, No. 11
! D(E_F) (states/eV per cell): 0.77
! Magnetic moment (Bohr magnetons per cell): 0.0
! Formation energy (no corrections) (eV per atom): -0.5411
&SYSTEM
  ibrav = 0, nat = 12, ntyp = 4
/
ATOMIC_SPECIES
Cu 63.55 Cu.upf
Bi 208.98 Bi.upf
Mg 24.30 Mg.upf
Se 78.96 Se.upf
CELL_PARAMETERS angstrom
4.0835 0.0000 0.0000
0.0000 8.1924 0.0433
0.0000 -2.1167 8.4072
ATOMIC_POSITIONS angstrom
Cu 1.0209 -0.4751 4.5980
Cu 3.0626 6.5507 3.8525
Bi 1.0209 1.0816 1.7542
Bi 3.0626 4.9941 6.6963
Mg 3.0626 0.9522 6.9869
Mg 1.0209 5.1235 1.4636
Se 1.0209 5.2108 4.0973
Se 3.0626 7.1061 1.2057
Se 1.0209 -1.0304 7.2448
Se 3.0626 3.1663 1.2422
Se 3.0626 0.8649 4.3532
Se 1.0209 2.9093 7.2083

Entry 2:
! MgTaCu2Bi (PBE, relaxed); values from VASP
! Raw total energy (eV per atom): -4.166
! Theoretical density (kg/m3): 6976
! Space-group type: P4/mmm, No. 123
! D(E_F) (states/eV per cell): 2.86
! Magnetic moment (Bohr magnetons per cell): 0.0
&SYSTEM
  ibrav = 0, nat = 5, ntyp = 4
/
ATOMIC_SPECIES
Cu 63.55 Cu.upf
Ta 180.95 Ta.upf
Mg 24.30 Mg.upf
Bi 208.98 Bi.upf
CELL_PARAMETERS angstrom
-0.3637 -3.8031 3.0503
2.1995 -2.8577 -3.3008
4.7983 1.2427 2.1215
ATOMIC_POSITIONS angstrom
Cu 1.0997 -1.4289 -1.6504
Cu -0.1818 -1.9015 1.5251
Ta 0.0000 0.0000 0.0000
Mg 3.3171 -2.7091 0.9355
Bi 2.3992 0.6213 1.0608